(1)
Below is a PBEsol-optimized structure of K2AgN2, with properties calculated at the SCAN level.

The value obtained for the uncorrected formation energy is 1.4091 eV per atom. The total energy is -11.912 eV/atom. The density of states at the Fermi level is 3.3 states/eV/f.u. The calculation puts the magnetic moment at 6.3 Bohr magnetons per cell.

The structure belongs to space group I4/mmm (No. 139); the cell edges are 4.9100, 4.9100 and 9.1189 Å and the angles 90.00°, 90.00° and 90.00°. The inequivalent atoms are K at (0.0000, 0.0000, 0.1553), Ag at (0.0000, 0.0000, 0.5000) and N at (0.0000, 0.5000, 0.2500).

(2)
Below is a PBEsol-optimized structure of Co2AgAsCl, with properties calculated at the SCAN level.

The value obtained for the uncorrected formation energy is 0.9975 eV per atom. The total energy is -17.831 eV/atom. The density of states at the Fermi level is 3.2 states/eV/f.u. The calculation puts the magnetic moment at 4.8 Bohr magnetons per cell.

The structure belongs to space group P4/mmm (No. 123); the cell edges are 4.8736, 4.8736 and 4.5647 Å and the angles 90.00°, 90.00° and 90.00°. The inequivalent atoms are Co at (0.0000, 0.5000, 0.0000), Ag at (0.0000, 0.0000, 0.0000), As at (0.0000, 0.0000, 0.5000) and Cl at (0.5000, 0.5000, 0.5000).

(3)
Below is a PBEsol-optimized structure of ReHg2Sb, with properties calculated at the SCAN level.

The value obtained for the uncorrected formation energy is 0.9675 eV per atom. The total energy is -60.205 eV/atom. The density of states at the Fermi level is 2.3 states/eV/f.u. The calculation puts the magnetic moment at 0.0 Bohr magnetons per cell.

The structure belongs to space group Cmmm (No. 65); the cell edges are 5.9253, 8.9359 and 2.9487 Å and the angles 90.00°, 90.00° and 90.00°. The inequivalent atoms are Re at (0.0000, 0.0000, 0.0000), Hg at (0.2500, 0.2500, 0.5000) and Sb at (0.0000, 0.5000, 0.0000).

(4)
Below is a PBEsol-optimized structure of TiCuNiPt2, with properties calculated at the SCAN level.

The calculation puts the formation energy at 3.1 eV/f.u. The total energy is -36.938 eV/atom. The density of states at the Fermi level is 5.2 states/eV/f.u. The calculation puts the magnetic moment at 0.0 Bohr magnetons per cell.

The structure belongs to space group P4/mmm (No. 123); the cell edges are 4.5669, 4.5669 and 4.0613 Å and the angles 90.00°, 90.00° and 90.00°. The inequivalent atoms are Ti at (0.0000, 0.0000, 0.0000), Cu at (0.5000, 0.5000, 0.0000), Ni at (0.0000, 0.0000, 0.5000) and Pt at (0.0000, 0.5000, 0.5000).

(5)
Below is a PBEsol-optimized structure of MgTe2O5, with properties calculated at the SCAN level.

The value obtained for the uncorrected formation energy is -1.6412 eV per atom. The total energy is -15.470 eV/atom. The density of states at the Fermi level is 0.0 states/eV/f.u. The calculation puts the magnetic moment at 0.0 Bohr magnetons per cell.

The structure belongs to space group Pbcn (No. 60); the cell edges are 7.2831, 10.6550 and 5.9326 Å and the angles 90.00°, 90.00° and 90.00°. The inequivalent atoms are Mg at (0.0000, 0.0587, 0.2500), Te at (0.1339, 0.3468, 0.0058), O at (0.0000, 0.4447, 0.2500), O at (0.1483, 0.0635, 0.5493) and O at (0.1920, 0.2072, 0.1917).

(6)
Below is a PBEsol-optimized structure of CaZnPd, with properties calculated at the SCAN level.

The calculation puts the formation energy at -2.0 eV/f.u. The total energy is -19.321 eV/atom. The density of states at the Fermi level is 1.0 states/eV/f.u. The calculation puts the magnetic moment at 0.0 Bohr magnetons per cell.

The structure belongs to space group Pnma (No. 62); the cell edges are 7.0117, 4.3408 and 7.6434 Å and the angles 90.00°, 90.00° and 90.00°. The inequivalent atoms are Ca at (0.0106, 0.2500, 0.1928), Zn at (0.1684, 0.2500, 0.5788) and Pd at (0.2059, 0.7500, 0.3988).

(7)
Below is a PBEsol-optimized structure of Ta2AuCl, with properties calculated at the SCAN level.

The relative energy among the computed polymorphs comes out at 0 meV per atom. The value obtained for the uncorrected formation energy is -0.1755 eV per atom. The total energy is -52.751 eV/atom. The density of states at the Fermi level is 2.3 states/eV/f.u. The calculation puts the magnetic moment at 0.0 Bohr magnetons per cell.

The structure belongs to space group P4mm (No. 99); the cell edges are 2.8977, 2.8977 and 8.8087 Å and the angles 90.00°, 90.00° and 90.00°. The inequivalent atoms are Ta at (0.0000, 0.0000, 0.0000), Ta at (0.5000, 0.5000, 0.2483), Au at (0.0000, 0.0000, 0.4692) and Cl at (0.5000, 0.5000, 0.8130).

(8)
Below is a PBEsol-optimized structure of In2MoIr, with properties calculated at the SCAN level.

The calculation puts the formation energy at 1.1 eV/f.u. The relative energy among the computed polymorphs comes out at 0 meV per atom. The total energy is -42.905 eV/atom. The density of states at the Fermi level is 2.4 states/eV/f.u. The calculation puts the magnetic moment at 0.0 Bohr magnetons per cell.

The structure belongs to space group P4/mmm (No. 123); the cell edges are 4.6954, 4.6954 and 3.0840 Å and the angles 90.00°, 90.00° and 90.00°. The inequivalent atoms are In at (0.0000, 0.5000, 0.0000), Mo at (0.0000, 0.0000, 0.5000) and Ir at (0.5000, 0.5000, 0.5000).

(9)
Below is a PBEsol-optimized structure of PrZnGa, with properties calculated at the SCAN level.

The calculation puts the formation energy at -1.9 eV/f.u. The total energy is -25.037 eV/atom. The density of states at the Fermi level is 1.5 states/eV/f.u. The calculation puts the magnetic moment at 0.0 Bohr magnetons per cell.

The structure belongs to space group P6_3/mmc (No. 194); the cell edges are 4.4377, 4.4377 and 7.5695 Å and the angles 90.00°, 90.00° and 120.00°. The inequivalent atoms are Pr at (0.0000, 0.0000, 0.0000), Zn at (0.3333, 0.6667, 0.2500) and Ga at (0.3333, 0.6667, 0.7500).

(10)
Below is a PBEsol-optimized structure of ScAl2Ru2, with properties calculated at the SCAN level.

The calculation puts the formation energy at -3.7 eV/f.u. The total energy is -20.614 eV/atom. The density of states at the Fermi level is 1.8 states/eV/f.u. The calculation puts the magnetic moment at 0.0 Bohr magnetons per cell.

The structure belongs to space group P4/mbm (No. 127); the cell edges are 7.0355, 7.0355 and 3.0508 Å and the angles 90.00°, 90.00° and 90.00°. The inequivalent atoms are Sc at (0.0000, 0.0000, 0.0000), Al at (0.1418, 0.3582, 0.5000) and Ru at (0.1532, 0.6532, 0.0000).

(11)
Below is a PBEsol-optimized structure of MnWSe, with properties calculated at the SCAN level.

The relative energy among the computed polymorphs comes out at 403 meV per atom. The value obtained for the uncorrected formation energy is 0.6664 eV per atom. The total energy is -35.341 eV/atom. The density of states at the Fermi level is 2.6 states/eV/f.u. The calculation puts the magnetic moment at 13.9 Bohr magnetons per cell.

The structure belongs to space group F-43m (No. 216); the cell edges are 5.7436, 5.7436 and 5.7436 Å and the angles 90.00°, 90.00° and 90.00°. The inequivalent atoms are Mn at (0.0000, 0.0000, 0.0000), W at (0.0000, 0.0000, 0.5000) and Se at (0.2500, 0.2500, 0.7500).

(12)
Below is a PBEsol-optimized structure of K2CuNi, with properties calculated at the SCAN level.

The calculation puts the formation energy at 3.6 eV/f.u. The relative energy among the computed polymorphs comes out at 355 meV per atom. The total energy is -11.117 eV/atom. The density of states at the Fermi level is 2.2 states/eV/f.u. The calculation puts the magnetic moment at 0.8 Bohr magnetons per cell.

The structure belongs to space group P4/mmm (No. 123); the cell edges are 3.1302, 3.1302 and 9.3882 Å and the angles 90.00°, 90.00° and 90.00°. The inequivalent atoms are K at (0.0000, 0.0000, 0.2435), Cu at (0.5000, 0.5000, 0.5000) and Ni at (0.5000, 0.5000, 0.0000).

(13)
Below is a PBEsol-optimized structure of CrFeCoI2, with properties calculated at the SCAN level.

The value obtained for the uncorrected formation energy is 1.1609 eV per atom. The total energy is -24.299 eV/atom. The density of states at the Fermi level is 3.2 states/eV/f.u. The calculation puts the magnetic moment at 4.4 Bohr magnetons per cell.

The structure belongs to space group P4/mmm (No. 123); the cell edges are 5.0143, 5.0143 and 4.3548 Å and the angles 90.00°, 90.00° and 90.00°. The inequivalent atoms are Cr at (0.0000, 0.0000, 0.0000), Fe at (0.0000, 0.0000, 0.5000), Co at (0.5000, 0.5000, 0.0000) and I at (0.0000, 0.5000, 0.5000).